A plane-wave DFT calculation with meta-GGA SCAN was carried out for Zr2PW at its PBEsol-relaxed geometry.

a = 8.857 Å, b = 3.511 Å, c = 4.738 Å
α = 90.00°, β = 109.15°, γ = 90.00°
Space group C2/m (No. 12)
Unique sites:
Zr1 0.237 0.000 0.228
P1 0.000 0.500 0.000
W1 0.000 0.000 0.500

Calculated values
The value obtained for the density of states at the Fermi level is 0.54 states/eV per atom. The value obtained for the formation energy is -0.171 eV per atom. The value obtained for the total magnetization is 0.00 μB per formula unit. The calculation puts the calculated volume at 139.2 Å³/cell.

A plane-wave DFT calculation with meta-GGA SCAN was carried out for CsI4 at its PBEsol-relaxed geometry.

a = 9.140 Å, b = 7.390 Å, c = 13.342 Å
α = 90.00°, β = 90.16°, γ = 90.00°
Space group P2_1/c (No. 14)
Unique sites:
Cs1 0.250 0.250 0.060
I1 0.092 0.249 0.310
I2 0.248 0.750 0.449
I3 0.249 0.750 0.199
I4 0.407 0.249 0.310

Calculated values
For the formation energy without anion corrections, the calculation gives -0.651 eV per atom. The value obtained for the total magnetization is 0.00 μB per formula unit. The calculation puts the calculated volume at 901.2 Å³/cell.

A plane-wave DFT calculation with meta-GGA SCAN was carried out for HgTe3 at its PBEsol-relaxed geometry.

a = 4.749 Å, b = 4.749 Å, c = 4.749 Å
α = 90.00°, β = 90.00°, γ = 90.00°
Space group Pm-3m (No. 221)
Unique sites:
Hg1 0.000 0.000 0.000
Te1 0.000 0.500 0.500

Calculated values
The value obtained for the density of states at the Fermi level is 0.87 states/eV per atom. For the formation energy without anion corrections, the calculation gives 0.393 eV per atom. The value obtained for the total magnetization is 0.00 μB per formula unit. The calculation puts the calculated volume at 107.1 Å³/cell.

A plane-wave DFT calculation with meta-GGA SCAN was carried out for SbOsNO2 at its PBEsol-relaxed geometry.

a = 4.017 Å, b = 4.017 Å, c = 3.774 Å
α = 90.00°, β = 90.00°, γ = 90.00°
Space group P4/mmm (No. 123)
Unique sites:
Sb1 0.000 0.000 0.000
Os1 0.500 0.500 0.500
N1 0.500 0.500 0.000
O1 0.000 0.500 0.500

Calculated values
The value obtained for the density of states at the Fermi level is 0.70 states/eV per atom. For the formation energy without anion corrections, the calculation gives 0.025 eV per atom. The value obtained for the total magnetization is 0.00 μB per formula unit. The calculation puts the calculated volume at 60.9 Å³/cell.

no.,total energy (eV per atom)
1,-35.54
2,-37.61
3,-44.59
4,-26.15